No. 1
Material: Dy4GeTe2As
Method: DFT, GGA-PBE
State: relaxed

a = 4.2247 Å, b = 7.3170 Å, c = 7.4624 Å
α = 109.03°, β = 90.00°, γ = 90.00°
Closest atoms and distances in Å follow each position.
Fractional positions:
Dy 0.5000 0.2427 0.2195  1 Ge 2.87, 2 As 2.90, 3 Te 3.13-3.16
Dy 0.5000 0.7573 0.7805  1 Ge 2.87, 2 As 2.90, 3 Te 3.13-3.16
Dy 0.0000 0.2628 0.7798  2 Ge 2.88, 1 As 2.91, 3 Te 3.12-3.15
Dy 0.0000 0.7372 0.2202  2 Ge 2.88, 1 As 2.91, 3 Te 3.12-3.15
Te 0.0000 0.5000 0.5000  6 Dy 3.12-3.13
Te 0.5000 0.0000 0.5000  6 Dy 3.15-3.16
Ge 0.5000 0.5000 0.0000  6 Dy 2.87-2.88
As 0.0000 0.0000 0.0000  6 Dy 2.90-2.91

Output
calculated volume = 218 Å³ per cell
crystal system = monoclinic
D(E_F) = 0.20 states/eV per atom
formation energy without anion corrections = -1.360 eV per atom
space-group type = No. 10

---

No. 2
Material: Dy6Ge2Te3As
Method: DFT, GGA-PBE
State: relaxed

a = 4.2312 Å, b = 8.5947 Å, c = 9.5713 Å
α = 104.09°, β = 102.77°, γ = 90.00°
Closest atoms and distances in Å follow each position.
Fractional positions:
Te 0.1653 0.8338 0.3307  6 Dy 3.14-3.15
Te 0.5000 0.5000 0.0000  6 Dy 3.14
Te 0.8347 0.1662 0.6693  6 Dy 3.14-3.15
Dy 0.3268 0.4337 0.6535  3 Ge 2.90, 3 Te 3.14-3.15
Dy 0.6732 0.5663 0.3465  3 Ge 2.90, 3 Te 3.14-3.15
Dy 0.6613 0.1020 0.3226  2 Ge 2.88, 1 As 2.92, 3 Te 3.14
Dy 0.0082 0.2356 0.0164  1 Ge 2.86, 2 As 2.91, 3 Te 3.14
Dy 0.9918 0.7644 0.9836  1 Ge 2.86, 2 As 2.91, 3 Te 3.14
Dy 0.3387 0.8980 0.6774  2 Ge 2.88, 1 As 2.92, 3 Te 3.14
As 0.5000 0.0000 0.0000  6 Dy 2.91-2.92
Ge 0.8335 0.6676 0.6671  6 Dy 2.86-2.90
Ge 0.1665 0.3324 0.3329  6 Dy 2.86-2.90

Output
calculated volume = 329 Å³ per cell
crystal system = monoclinic
D(E_F) = 0.19 states/eV per atom
formation energy without anion corrections = -1.305 eV per atom
space-group type = No. 12

---

Look up the D(E_F) of the second one. 0.19 states/eV per atom

---

Please write out number 2 again, unchanged.
Material: Dy6Ge2Te3As
Method: DFT, GGA-PBE
State: relaxed

a = 4.2312 Å, b = 8.5947 Å, c = 9.5713 Å
α = 104.09°, β = 102.77°, γ = 90.00°
Closest atoms and distances in Å follow each position.
Fractional positions:
Te 0.1653 0.8338 0.3307  6 Dy 3.14-3.15
Te 0.5000 0.5000 0.0000  6 Dy 3.14
Te 0.8347 0.1662 0.6693  6 Dy 3.14-3.15
Dy 0.3268 0.4337 0.6535  3 Ge 2.90, 3 Te 3.14-3.15
Dy 0.6732 0.5663 0.3465  3 Ge 2.90, 3 Te 3.14-3.15
Dy 0.6613 0.1020 0.3226  2 Ge 2.88, 1 As 2.92, 3 Te 3.14
Dy 0.0082 0.2356 0.0164  1 Ge 2.86, 2 As 2.91, 3 Te 3.14
Dy 0.9918 0.7644 0.9836  1 Ge 2.86, 2 As 2.91, 3 Te 3.14
Dy 0.3387 0.8980 0.6774  2 Ge 2.88, 1 As 2.92, 3 Te 3.14
As 0.5000 0.0000 0.0000  6 Dy 2.91-2.92
Ge 0.8335 0.6676 0.6671  6 Dy 2.86-2.90
Ge 0.1665 0.3324 0.3329  6 Dy 2.86-2.90

Output
calculated volume = 329 Å³ per cell
crystal system = monoclinic
D(E_F) = 0.19 states/eV per atom
formation energy without anion corrections = -1.305 eV per atom
space-group type = No. 12